Record 1
DFT (PBE-GGA) results for HfIn2SnBr6 after structural relaxation.

POSCAR file:
```
HfIn2SnBr6
1.0
4.010 2.315 6.304
-4.010 2.315 6.304
0.000 -4.631 6.304
Br In Hf Sn
6 2 1 1
direct
0.278 0.806 0.616
0.806 0.616 0.278
0.662 0.143 0.394
0.394 0.662 0.143
0.143 0.394 0.662
0.616 0.278 0.806
0.810 0.810 0.810
0.237 0.237 0.237
0.488 0.488 0.488
0.068 0.068 0.068
```

Output
The magnetization comes out at 0.00 μB/atom. The total energy is -3.709 eV per atom. As for the calculated volume: 351.2 Å³ per cell.

Record 2
DFT (PBE-GGA) results for HfMo3Br4 after structural relaxation.

POSCAR file:
```
HfMo3Br4
1.0
-2.885 2.885 5.719
2.885 -2.885 5.719
2.885 2.885 -5.719
Mo Hf Br
3 1 4
direct
0.500 0.500 0.000
0.750 0.250 0.500
0.250 0.750 0.500
0.000 0.000 0.000
0.130 0.130 0.519
0.389 0.870 0.000
0.611 0.611 0.481
0.870 0.389 0.000
```

Output
The magnetization comes out at 0.00 μB/atom. The total energy is -5.033 eV per atom. As for the calculated volume: 190.4 Å³ per cell.

Record order is preserved below.
Calculated density: 4.76; 6.85 g/cm3